(1)
Here is a relaxed structure of CaNiMo2 from Alexandria. Energies are from PBEsol.

## Properties
Theoretical density ... 7527 kg/m³
VASP energy ... -7.529 eV per atom
ΔH_f (0 K) ... 428 meV per atom
Calculated volume ... 64.1 Å³ per cell
Energy above the most stable polymorph in this dataset ... 0 meV per atom

Lattice parameters (Å, degrees): 2.697 2.697 8.815 90.00 90.00 90.00
Element x y z (fractional)
Mo: 0.000 0.000 0.025
Mo: 0.500 0.500 0.282
Ca: 0.500 0.500 0.723
Ni: 0.000 0.000 0.470

***

(2)
Here is a relaxed structure of Re2NiOs from Alexandria. Energies are from PBEsol.

## Properties
Theoretical density ... 18636 kg/m³
VASP energy ... -10.833 eV per atom
ΔH_f (0 K) ... 426 meV per atom
Calculated volume ... 55.4 Å³ per cell
Energy above the most stable polymorph in this dataset ... 486 meV per atom

Lattice parameters (Å, degrees): 2.644 2.644 8.779 90.00 90.00 115.61
Element x y z (fractional)
Re: 0.000 0.000 0.000
Re: 0.500 0.500 0.740
Os: 0.500 0.500 0.258
Ni: 0.000 0.000 0.502

***

(3)
Here is a relaxed structure of ScHg3Os from Alexandria. Energies are from PBEsol.

## Properties
Theoretical density ... 9926 kg/m³
VASP energy ... -2.380 eV per atom
ΔH_f (0 K) ... 1724 meV per atom
Calculated volume ... 140.0 Å³ per cell

Lattice parameters (Å, degrees): 5.193 5.193 5.193 90.00 90.00 90.00
Element x y z (fractional)
Hg: 0.000 0.500 0.000
Hg: 0.500 0.000 0.000
Hg: 0.000 0.000 0.500
Os: 0.500 0.500 0.500
Sc: 0.000 0.000 0.000